# 1
Here is a geometry-optimized NaSiAu structure from the Alexandria database. Energies are from PBE-GGA.

Lattice parameters (Å, degrees): 4.0461 7.9319 7.3825 90.00 90.00 90.00
Closest atoms and distances in Å follow each position.
Space group Ima2 (No. 46)
Asymmetric unit:
Na1 0.2500 0.1578 0.0000  5 Au 2.96-3.27, 3 Si 3.08-3.22, 2 Na 3.22
Si1 0.2500 0.5869 0.8476  2 Si 2.45, 2 Au 2.50-2.55
Au1 0.2500 0.6347 0.1886  2 Si 2.50-2.55

Calculated values
**Raw formation energy**: -0.20 eV/atom

# 2
Here is a geometry-optimized Ca2ErWN4 structure from the Alexandria database. Energies are from PBE-GGA.

Lattice parameters (Å, degrees): 5.7230 3.2690 5.8747 90.00 108.58 90.00
Closest atoms and distances in Å follow each position.
Space group P2/m (No. 10)
Asymmetric unit:
Ca1 0.0000 0.0000 0.0000  6 N 2.51-2.64
Ca2 0.5000 0.5000 0.0000  6 N 2.40-2.42
Er1 0.0000 0.5000 0.5000  6 N 2.33
W1 0.5000 0.0000 0.5000  6 N 2.07-2.21
N1 0.2723 0.0000 0.7115  1 W 2.07
N2 0.2779 0.5000 0.2836  2 W 2.21, 1 Er 2.33, 1 Ca 2.40

Calculated values
**Raw formation energy**: -1.08 eV/atom

# 3
Here is a geometry-optimized Sm4TlPSe2 structure from the Alexandria database. Energies are from PBE-GGA.

Lattice parameters (Å, degrees): 7.3733 4.1635 7.4210 90.00 108.72 90.00
Closest atoms and distances in Å follow each position.
Space group P2/m (No. 10)
Asymmetric unit:
Sm1 0.2389 0.0000 0.2336  2 P 2.91, 3 Se 2.98-3.08, 1 Tl 3.04
Sm2 0.2552 0.5000 0.7651  3 Se 2.93-3.07, 1 P 2.95, 2 Tl 3.06
Tl1 0.0000 0.0000 0.5000  6 Sm 3.04-3.06
P1 0.0000 0.5000 0.0000  6 Sm 2.91-2.95
Se1 0.5000 0.0000 0.0000  6 Sm 2.93-2.98
Se2 0.5000 0.5000 0.5000  6 Sm 3.07-3.08

Calculated values
**Raw formation energy**: -1.37 eV/atom